1.
! Pr6AsSe12 | the Alexandria database | PBE | relaxed; values from VASP
! VASP energy: -5.37 eV/atom
! space-group type: R-3, No. 148
&SYSTEM
  ibrav = 0, nat = 19, ntyp = 3
/
ATOMIC_SPECIES
Se 78.96 Se.upf
Pr 140.91 Pr.upf
As 74.92 As.upf
CELL_PARAMETERS angstrom
8.347 0.057 0.069
-1.209 8.260 0.069
-1.209 -1.408 8.139
ATOMIC_POSITIONS crystal
Se 0.038 0.989 0.329
Pr 0.135 0.644 0.316
Pr 0.865 0.356 0.684
Se 0.566 0.422 0.815
Se 0.578 0.185 0.434
Se 0.329 0.038 0.989
As 0.000 0.000 0.000
Se 0.989 0.329 0.038
Se 0.671 0.962 0.011
Se 0.011 0.671 0.962
Se 0.815 0.566 0.422
Se 0.185 0.434 0.578
Pr 0.684 0.865 0.356
Se 0.962 0.011 0.671
Pr 0.316 0.135 0.644
Pr 0.356 0.684 0.865
Se 0.422 0.815 0.566
Pr 0.644 0.316 0.135
Se 0.434 0.578 0.185



2.
! CuPd4Au4 | the Alexandria database | PBE | relaxed; values from VASP
! VASP energy: -4.30 eV/atom
! energy relative to the elements: -77 meV/atom
! space-group type: I4/mmm, No. 139
! E above lowest polymorph: 0 meV/atom
&SYSTEM
  ibrav = 0, nat = 9, ntyp = 3
/
ATOMIC_SPECIES
Au 196.97 Au.upf
Pd 106.42 Pd.upf
Cu 63.55 Cu.upf
CELL_PARAMETERS angstrom
-2.379 -0.977 3.029
3.348 0.545 5.412
-2.936 5.304 2.011
ATOMIC_POSITIONS crystal
Au 0.335 0.329 0.000
Pd 0.000 0.666 0.334
Au 0.665 0.000 0.671
Pd 0.000 0.334 0.666
Au 0.665 0.671 0.000
Au 0.335 0.000 0.329
Pd 0.334 0.666 0.666
Pd 0.666 0.334 0.334
Cu 0.000 0.000 0.000



3.
! Pr10Dy6Th | the Alexandria database | PBE | relaxed; values from VASP
! VASP energy: -4.72 eV/atom
! energy relative to the elements: 148 meV/atom
! space-group type: P-31m, No. 162
&SYSTEM
  ibrav = 0, nat = 17, ntyp = 3
/
ATOMIC_SPECIES
Pr 140.91 Pr.upf
Dy 162.50 Dy.upf
Th 232.04 Th.upf
CELL_PARAMETERS angstrom
-4.161 -2.953 -4.827
-2.502 -7.042 6.466
-5.294 8.328 -0.531
ATOMIC_POSITIONS crystal
Pr 0.822 0.277 0.000
Pr 0.000 0.667 0.333
Dy 0.682 0.000 0.637
Dy 0.318 0.363 0.000
Pr 0.178 0.000 0.723
Dy 0.318 0.000 0.363
Pr 0.500 0.667 0.333
Pr 0.500 0.333 0.667
Pr 0.822 0.723 0.723
Pr 0.178 0.277 0.277
Th 0.500 0.000 0.000
Pr 0.178 0.723 0.000
Dy 0.318 0.637 0.637
Dy 0.682 0.363 0.363
Pr 0.822 0.000 0.277
Dy 0.682 0.637 0.000
Pr 0.000 0.333 0.667



4.
! Sm5Ho6 | the Alexandria database | PBE | relaxed; values from VASP
! VASP energy: -4.50 eV/atom
! energy relative to the elements: 138 meV/atom
! space-group type: C2/m, No. 12
! E above lowest polymorph: 23 meV/atom
&SYSTEM
  ibrav = 0, nat = 11, ntyp = 2
/
ATOMIC_SPECIES
Ho 164.93 Ho.upf
Sm 150.36 Sm.upf
CELL_PARAMETERS angstrom
9.039 0.000 -0.626
4.519 6.545 -0.313
2.338 0.000 5.950
ATOMIC_POSITIONS crystal
Ho 0.306 0.741 0.827
Sm 0.630 0.740 0.000
Sm 0.761 0.479 0.500
Ho 0.047 0.259 0.827
Ho 0.694 0.259 0.173
Sm 0.239 0.521 0.500
Sm 0.370 0.260 0.000
Ho 0.163 0.000 0.309
Ho 0.953 0.741 0.173
Ho 0.837 0.000 0.691
Sm 0.500 0.000 0.500